# TbPaMo

A relaxed structure of TbPaMo (PBE-GGA, Alexandria).

Computed properties:
energy relative to the lowest polymorph listed for this composition: 196 meV/atom

Cell: 3.4685 3.4685 25.1962 Å, 90.00 90.00 90.00°
Fractional coordinates of all 12 atoms:
1 Tb 0.0000 0.0000 0.0715
2 Tb 0.0000 0.0000 0.9285
3 Tb 0.5000 0.5000 0.4285
4 Tb 0.5000 0.5000 0.5715
5 Pa 0.0000 0.0000 0.3413
6 Pa 0.0000 0.0000 0.6587
7 Pa 0.5000 0.5000 0.1587
8 Pa 0.5000 0.5000 0.8413
9 Mo 0.0000 0.0000 0.2160
10 Mo 0.0000 0.0000 0.7840
11 Mo 0.5000 0.5000 0.2840
12 Mo 0.5000 0.5000 0.7160